Material: TmScAg4
Method: DFT, PBE
State: relaxed

Geometry as CIF:
```
data_TmScAg4
_cell_length_a 3.618
_cell_length_b 3.618
_cell_length_c 9.051
_cell_angle_alpha 90.00
_cell_angle_beta 90.00
_cell_angle_gamma 90.00
_symmetry_space_group_name_H-M 'P 4/m m m'
_symmetry_Int_Tables_number 123
_symmetry_space_group_name_Hall '-P 4 2'
loop_
_atom_site_label
_atom_site_type_symbol
_atom_site_fract_x
_atom_site_fract_y
_atom_site_fract_z
Tm1 Tm 0.000 0.000 0.000
Sc1 Sc 0.500 0.500 0.500
Ag1 Ag 0.000 0.000 0.339
Ag2 Ag 0.500 0.500 0.174
```

The value obtained for the final energy is -4.005 eV/atom. The total magnetic moment is 0.00 μB/f.u. As for the volume: 19.74 Å³/atom. The value obtained for the formation energy is -0.32 eV/atom.



Material: Nb2AlInPt2
Method: DFT, PBE
State: relaxed

Geometry as CIF:
```
data_Nb2AlInPt2
_cell_length_a 10.687
_cell_length_b 4.358
_cell_length_c 10.706
_cell_angle_alpha 90.00
_cell_angle_beta 109.46
_cell_angle_gamma 90.00
_symmetry_space_group_name_H-M 'P 1 m 1'
_symmetry_Int_Tables_number 6
_symmetry_space_group_name_Hall 'P -2y'
loop_
_atom_site_label
_atom_site_type_symbol
_atom_site_fract_x
_atom_site_fract_y
_atom_site_fract_z
Nb1 Nb 0.000 0.000 0.000
Nb2 Nb 0.120 0.500 0.374
Nb3 Nb 0.244 0.000 0.746
Nb4 Nb 0.376 0.500 0.131
Nb5 Nb 0.499 0.000 0.501
Nb6 Nb 0.624 0.500 0.871
Nb7 Nb 0.748 0.000 0.254
Nb8 Nb 0.871 0.500 0.623
Al1 Al 0.249 0.000 0.252
Al2 Al 0.623 0.500 0.377
Al3 Al 0.748 0.000 0.747
Al4 Al 0.995 0.000 0.499
In1 In 0.121 0.500 0.876
In2 In 0.372 0.500 0.622
In3 In 0.500 0.000 0.004
In4 In 0.873 0.500 0.126
Pt1 Pt 0.132 0.500 0.134
Pt2 Pt 0.238 0.000 0.491
Pt3 Pt 0.372 0.500 0.874
Pt4 Pt 0.500 0.000 0.260
Pt5 Pt 0.629 0.500 0.624
Pt6 Pt 0.749 0.000 0.989
Pt7 Pt 0.870 0.500 0.381
Pt8 Pt 0.990 0.000 0.742
```

The value obtained for the final energy is -7.009 eV/atom. The total magnetic moment is 0.00 μB/f.u. As for the volume: 19.59 Å³/atom.



Material: Nd3Mg3Ag2Pt
Method: DFT, PBE
State: relaxed

Geometry as CIF:
```
data_Nd3Mg3Ag2Pt
_cell_length_a 7.6910
_cell_length_b 7.6910
_cell_length_c 4.2824
_cell_angle_alpha 90.00
_cell_angle_beta 90.00
_cell_angle_gamma 120.00
_symmetry_space_group_name_H-M 'P -6 2 m'
_symmetry_Int_Tables_number 189
_symmetry_space_group_name_Hall 'P -6 -2'
loop_
_atom_site_label
_atom_site_type_symbol
_atom_site_fract_x
_atom_site_fract_y
_atom_site_fract_z
Nd1 Nd 0.0000 0.4039 0.0000
Mg1 Mg 0.0000 0.7676 0.5000
Ag1 Ag 0.3333 0.6667 0.5000
Pt1 Pt 0.0000 0.0000 0.0000
```

The value obtained for the final energy is -3.867 eV/atom. The total magnetic moment is 0.03 μB/f.u. As for the volume: 24.37 Å³/atom.



Material: LiTaInIr
Method: DFT, PBE
State: relaxed

Geometry as CIF:
```
data_LiTaInIr
_cell_length_a 6.349
_cell_length_b 6.349
_cell_length_c 6.349
_cell_angle_alpha 90.00
_cell_angle_beta 90.00
_cell_angle_gamma 90.00
_symmetry_space_group_name_H-M 'F -4 3 m'
_symmetry_Int_Tables_number 216
_symmetry_space_group_name_Hall 'F -4 2 3'
loop_
_atom_site_label
_atom_site_type_symbol
_atom_site_fract_x
_atom_site_fract_y
_atom_site_fract_z
Li1 Li 0.000 0.000 0.000
Ta1 Ta 0.250 0.250 0.250
In1 In 0.250 0.250 0.750
Ir1 Ir 0.000 0.000 0.500
```

The value obtained for the final energy is -6.742 eV/atom. The total magnetic moment is 0.00 μB/f.u. As for the volume: 15.99 Å³/atom. The energy above the most stable polymorph in this dataset is 0 meV/atom.



Material: Hf2AlGe2
Method: DFT, PBE
State: relaxed

Geometry as CIF:
```
data_Hf2AlGe2
_cell_length_a 3.755
_cell_length_b 3.755
_cell_length_c 13.650
_cell_angle_alpha 90.00
_cell_angle_beta 90.00
_cell_angle_gamma 90.00
_symmetry_space_group_name_H-M 'I 4/m m m'
_symmetry_Int_Tables_number 139
_symmetry_space_group_name_Hall '-I 4 2'
loop_
_atom_site_label
_atom_site_type_symbol
_atom_site_fract_x
_atom_site_fract_y
_atom_site_fract_z
Hf1 Hf 0.000 0.000 0.103
Al1 Al 0.000 0.000 0.500
Ge1 Ge 0.000 0.500 0.250
```

The value obtained for the final energy is -6.671 eV/atom. The total magnetic moment is 0.01 μB/f.u. As for the volume: 19.25 Å³/atom.



Material: NdPaSi
Method: DFT, PBE
State: relaxed

Geometry as CIF:
```
data_NdPaSi
_cell_length_a 6.886
_cell_length_b 6.886
_cell_length_c 6.886
_cell_angle_alpha 90.00
_cell_angle_beta 90.00
_cell_angle_gamma 90.00
_symmetry_space_group_name_H-M 'F -4 3 m'
_symmetry_Int_Tables_number 216
_symmetry_space_group_name_Hall 'F -4 2 3'
loop_
_atom_site_label
_atom_site_type_symbol
_atom_site_fract_x
_atom_site_fract_y
_atom_site_fract_z
Nd1 Nd 0.000 0.000 0.000
Pa1 Pa 0.000 0.000 0.500
Si1 Si 0.250 0.250 0.250
```

The value obtained for the final energy is -6.553 eV/atom. The total magnetic moment is 0.98 μB/f.u. As for the volume: 27.20 Å³/atom. The energy above the most stable polymorph in this dataset is 0 meV/atom.



Material: BeFeCuAs
Method: DFT, PBE
State: relaxed

Geometry as CIF:
```
data_BeFeCuAs
_cell_length_a 5.656
_cell_length_b 5.656
_cell_length_c 5.656
_cell_angle_alpha 90.00
_cell_angle_beta 90.00
_cell_angle_gamma 90.00
_symmetry_space_group_name_H-M 'F -4 3 m'
_symmetry_Int_Tables_number 216
_symmetry_space_group_name_Hall 'F -4 2 3'
loop_
_atom_site_label
_atom_site_type_symbol
_atom_site_fract_x
_atom_site_fract_y
_atom_site_fract_z
Be1 Be 0.000 0.000 0.000
Fe1 Fe 0.250 0.250 0.250
Cu1 Cu 0.250 0.250 0.750
As1 As 0.000 0.000 0.500
```

The value obtained for the final energy is -4.909 eV/atom. The total magnetic moment is 1.56 μB/f.u. As for the volume: 11.31 Å³/atom. The energy above the most stable polymorph in this dataset is 0 meV/atom.



Material: YTm2Mg3CdIn2
Method: DFT, PBE
State: relaxed

Geometry as CIF:
```
data_YTm2Mg3CdIn2
_cell_length_a 4.605
_cell_length_b 13.002
_cell_length_c 7.454
_cell_angle_alpha 90.00
_cell_angle_beta 90.00
_cell_angle_gamma 90.00
_symmetry_space_group_name_H-M 'A m m 2'
_symmetry_Int_Tables_number 38
_symmetry_space_group_name_Hall 'A 2 -2'
loop_
_atom_site_label
_atom_site_type_symbol
_atom_site_fract_x
_atom_site_fract_y
_atom_site_fract_z
Y1 Y 0.000 0.000 0.000
Tm1 Tm 0.000 0.214 0.642
Mg1 Mg 0.500 0.000 0.669
Mg2 Mg 0.500 0.120 0.309
Cd1 Cd 0.000 0.000 0.432
In1 In 0.500 0.168 0.928
```

The value obtained for the final energy is -3.289 eV/atom. The total magnetic moment is 0.00 μB/f.u. As for the volume: 24.80 Å³/atom.